1.
Entry from the Alexandria database: an optimized crystal structure of Mn5PdS8 (GGA-PBE).

## Properties
The density of states at the Fermi level comes out at 8.3 states/eV/cell. For the calculated density, the calculation gives 4.39 Mg/m³. As for the symmetry: F-43m. The value obtained for the uncorrected energy is -6.54 eV per atom. The total magnetization is 14.9 μB per cell.

Unit cell a=6.985 b=6.985 c=6.985 alpha=60.00 beta=60.00 gamma=60.00
Site moments in Bohr magnetons follow the coordinates.
Element x y z (fractional)
1 Mn 0.000 0.000 0.000  3.89
2 Mn 0.622 0.622 0.135  2.67
3 Mn 0.622 0.622 0.622  2.67
4 Mn 0.135 0.622 0.622  2.67
5 Mn 0.622 0.135 0.622  2.67
6 Pd 0.250 0.250 0.250  -0.09
7 S 0.387 0.839 0.387  -0.06
8 S 0.839 0.387 0.387  -0.06
9 S 0.387 0.387 0.387  -0.06
10 S 0.387 0.387 0.839  -0.06
11 S 0.864 0.864 0.409  -0.05
12 S 0.409 0.864 0.864  -0.05
13 S 0.864 0.864 0.864  -0.05
14 S 0.864 0.409 0.864  -0.05

=====

2.
Entry from the Alexandria database: an optimized crystal structure of BeRhBr2 (GGA-PBE).

## Properties
For the calculated density, the calculation gives 4.60 Mg/m³. As for the symmetry: Cm. Its energy relative to the lowest polymorph listed for this composition is 13.6 meV per atom. The value obtained for the uncorrected energy is -4.00 eV per atom. The total magnetization is 0.0 μB per cell.

Unit cell a=6.107 b=3.770 c=17.094 alpha=90.00 beta=94.98 gamma=90.00
Element x y z (fractional)
1 Be 0.210 0.000 0.806
2 Be 0.210 0.500 0.306
3 Be 0.364 0.000 0.402
4 Be 0.364 0.500 0.902
5 Rh 0.010 0.000 0.326
6 Rh 0.010 0.500 0.826
7 Rh 0.168 0.000 0.930
8 Rh 0.168 0.500 0.430
9 Br 0.733 0.000 0.424
10 Br 0.733 0.500 0.924
11 Br 0.339 0.000 0.240
12 Br 0.339 0.500 0.740
13 Br 0.276 0.000 0.530
14 Br 0.276 0.500 0.030
15 Br 0.839 0.000 0.733
16 Br 0.839 0.500 0.233

=====

3.
Entry from the Alexandria database: an optimized crystal structure of Zn2Pt3 (GGA-PBE).

## Properties
The density of states at the Fermi level comes out at 2.0 states/eV/cell. For the calculated density, the calculation gives 14.86 Mg/m³. As for the symmetry: P-3m1. Its energy relative to the lowest polymorph listed for this composition is 137.3 meV per atom. The value obtained for the uncorrected energy is -4.46 eV per atom. The total magnetization is 0.0 μB per cell.

Unit cell a=4.214 b=4.214 c=5.205 alpha=90.00 beta=90.00 gamma=120.00
Element x y z (fractional)
1 Zn 0.667 0.333 0.174
2 Zn 0.333 0.667 0.826
3 Pt 0.000 0.000 0.000
4 Pt 0.667 0.333 0.661
5 Pt 0.333 0.667 0.339

=====

4.
Entry from the Alexandria database: an optimized crystal structure of Sm2ErTmTl2 (GGA-PBE).

## Properties
The density of states at the Fermi level comes out at 12.2 states/eV/cell. For the calculated density, the calculation gives 9.89 Mg/m³. As for the symmetry: Pmc2_1. The value obtained for the uncorrected energy is -4.13 eV per atom. The total magnetization is 0.0 μB per cell.

Unit cell a=5.108 b=6.816 c=10.082 alpha=90.00 beta=90.00 gamma=90.00
Element x y z (fractional)
1 Sm 0.500 0.055 0.041
2 Sm 0.000 0.330 0.188
3 Sm 0.500 0.555 0.959
4 Sm 0.000 0.830 0.812
5 Er 0.000 0.963 0.460
6 Er 0.000 0.463 0.540
7 Tm 0.500 0.181 0.684
8 Tm 0.500 0.681 0.316
9 Tl 0.000 0.300 0.856
10 Tl 0.500 0.218 0.374
11 Tl 0.000 0.800 0.144
12 Tl 0.500 0.718 0.626

=====

5.
Entry from the Alexandria database: an optimized crystal structure of InHg3 (GGA-PBE).

## Properties
The density of states at the Fermi level comes out at 1.1 states/eV/cell. For the calculated density, the calculation gives 11.10 Mg/m³. As for the symmetry: C2/m. The value obtained for the uncorrected energy is -0.91 eV per atom. The total magnetization is 0.0 μB per cell.

Unit cell a=5.846 b=5.846 c=5.231 alpha=78.12 beta=78.12 gamma=37.92
Element x y z (fractional)
1 Hg 0.500 0.500 0.500
2 Hg 0.748 0.748 0.751
3 Hg 0.252 0.252 0.249
4 In 0.000 0.000 0.000

=====

6.
Entry from the Alexandria database: an optimized crystal structure of PmNd2Sm9 (GGA-PBE).

## Properties
The density of states at the Fermi level comes out at 19.6 states/eV/cell. For the calculated density, the calculation gives 7.27 Mg/m³. As for the symmetry: P4/mmm. Its energy relative to the lowest polymorph listed for this composition is 0.0 meV per atom. The value obtained for the uncorrected energy is -4.71 eV per atom. The total magnetization is 0.0 μB per cell.

Unit cell a=5.144 b=5.144 c=15.424 alpha=90.00 beta=90.00 gamma=90.00
Element x y z (fractional)
1 Pm 0.000 0.000 0.000
2 Nd 0.000 0.000 0.333
3 Nd 0.000 0.000 0.667
4 Sm 0.500 0.500 0.000
5 Sm 0.500 0.500 0.333
6 Sm 0.500 0.500 0.667
7 Sm 0.500 0.000 0.166
8 Sm 0.500 0.000 0.500
9 Sm 0.500 0.000 0.834
10 Sm 0.000 0.500 0.166
11 Sm 0.000 0.500 0.500
12 Sm 0.000 0.500 0.834

=====

7.
Entry from the Alexandria database: an optimized crystal structure of RbBaLi2Te (GGA-PBE).

## Properties
The density of states at the Fermi level comes out at 5.5 states/eV/cell. For the calculated density, the calculation gives 2.20 Mg/m³. As for the symmetry: P4/mmm. The value obtained for the uncorrected energy is -1.99 eV per atom. The total magnetization is 0.0 μB per cell.

Unit cell a=6.495 b=6.510 c=6.495 alpha=90.00 beta=90.00 gamma=90.00
Element x y z (fractional)
1 Te 0.000 0.500 0.000
2 Ba 0.000 0.000 0.000
3 Rb 0.500 0.500 0.500
4 Li 0.000 0.000 0.500
5 Li 0.500 0.000 0.000

=====

8.
Entry from the Alexandria database: an optimized crystal structure of LiCdTe (GGA-PBE).

## Properties
The density of states at the Fermi level comes out at 1.4 states/eV/cell. For the calculated density, the calculation gives 4.55 Mg/m³. As for the symmetry: F-43m. Its energy relative to the lowest polymorph listed for this composition is 80.4 meV per atom. The value obtained for the uncorrected energy is -2.33 eV per atom. The total magnetization is 0.0 μB per cell.

Unit cell a=5.031 b=5.031 c=5.031 alpha=60.00 beta=60.00 gamma=60.00
Element x y z (fractional)
1 Cd 0.000 0.000 0.000
2 Li 0.500 0.500 0.500
3 Te 0.750 0.750 0.750

=====

9.
Entry from the Alexandria database: an optimized crystal structure of TaSn3Se (GGA-PBE).

## Properties
The density of states at the Fermi level comes out at 5.7 states/eV/cell. For the calculated density, the calculation gives 7.07 Mg/m³. As for the symmetry: Pm-3m. Its energy relative to the lowest polymorph listed for this composition is 678.3 meV per atom. The value obtained for the uncorrected energy is -4.26 eV per atom. The total magnetization is 0.0 μB per cell.

Unit cell a=5.251 b=5.251 c=5.251 alpha=90.00 beta=90.00 gamma=90.00
Element x y z (fractional)
1 Sn 0.000 0.500 0.000
2 Sn 0.000 0.000 0.500
3 Sn 0.500 0.000 0.000
4 Se 0.000 0.000 0.000
5 Ta 0.500 0.500 0.500

=====

10.
Entry from the Alexandria database: an optimized crystal structure of CaAuS2Cl (GGA-PBE).

## Properties
The density of states at the Fermi level comes out at 3.1 states/eV/cell. For the calculated density, the calculation gives 3.73 Mg/m³. As for the symmetry: P4/mmm. Its energy relative to the lowest polymorph listed for this composition is 557.9 meV per atom. The value obtained for the uncorrected energy is -3.04 eV per atom. The total magnetization is 2.0 μB per cell.

Unit cell a=5.406 b=5.406 c=5.129 alpha=90.00 beta=90.00 gamma=90.00
Site moments in Bohr magnetons follow the coordinates.
Element x y z (fractional)
1 Ca 0.000 0.000 0.000  -0.01
2 Au 0.500 0.500 0.500  -0.01
3 S 0.000 0.500 0.000  0.62
4 S 0.500 0.000 0.000  0.62
5 Cl 0.000 0.000 0.500  0.08

=====

11.
Entry from the Alexandria database: an optimized crystal structure of Be2TcSb (GGA-PBE).

## Properties
The density of states at the Fermi level comes out at 1.9 states/eV/cell. For the calculated density, the calculation gives 7.41 Mg/m³. As for the symmetry: Pm. The value obtained for the uncorrected energy is -5.24 eV per atom. The total magnetization is 0.0 μB per cell.

Unit cell a=3.497 b=3.191 c=5.045 alpha=71.25 beta=90.00 gamma=90.00
Element x y z (fractional)
1 Sb 0.000 0.455 0.468
2 Tc 0.500 0.778 0.817
3 Be 0.000 0.194 0.983
4 Be 0.500 0.073 0.231

=====

12.
Entry from the Alexandria database: an optimized crystal structure of DyCd5Au (GGA-PBE).

## Properties
The density of states at the Fermi level comes out at 3.2 states/eV/cell. For the calculated density, the calculation gives 9.23 Mg/m³. As for the symmetry: P4/mmm. The value obtained for the uncorrected energy is -2.03 eV per atom. The total magnetization is 0.0 μB per cell.

Unit cell a=4.840 b=4.840 c=7.077 alpha=90.00 beta=90.00 gamma=90.00
Element x y z (fractional)
1 Dy 0.000 0.000 0.000
2 Cd 0.500 0.000 0.714
3 Cd 0.000 0.500 0.714
4 Cd 0.500 0.500 0.000
5 Cd 0.000 0.500 0.286
6 Cd 0.500 0.000 0.286
7 Au 0.000 0.000 0.500